## 1
DFT (PBE-GGA) results for a relaxed structure of NaMn2Te4.

a b c (Å): 8.4129 8.4127 7.9693
angles (deg): 120.49 105.93 105.03
With the nearest neighbours (Å) after each atom.
Positions (direct):
Na: 0.1578 0.6578 0.5000  6 Te 3.07-3.36
Na: 0.1252 0.1251 0.0000  6 Te 3.13-3.24
Mn: 0.6281 0.3719 0.7666  6 Te 2.69-2.80
Mn: 0.6051 0.8613 0.2334  6 Te 2.69-2.80
Mn: 0.6806 0.3536 0.2750  5 Te 2.65-2.77
Mn: 0.0786 0.4054 0.7249  5 Te 2.65-2.77
Te: 0.8963 0.1538 0.2720  3 Mn 2.72-2.80
Te: 0.2840 0.5925 0.1539  2 Mn 2.65-2.69
Te: 0.8819 0.6244 0.7280  3 Mn 2.72-2.80
Te: 0.8016 0.1235 0.6889  3 Mn 2.69-2.77
Te: 0.4346 0.1127 0.3111  3 Mn 2.69-2.77
Te: 0.4387 0.1302 0.8461  2 Mn 2.65-2.69
Te: 0.4278 0.5880 0.7782  3 Mn 2.73-2.77
Te: 0.8097 0.6497 0.2219  3 Mn 2.73-2.77

***

## 2
DFT (PBE-GGA) results for a relaxed structure of NaMn2Te4.

a b c (Å): 4.0125 4.0125 13.4924
angles (deg): 81.45 81.45 60.00
With the nearest neighbours (Å) after each atom.
Positions (direct):
Na: 0.0000 0.0000 0.0000  6 Te 3.25
Mn: 0.4285 0.4285 0.7146  6 Te 2.76-2.77
Mn: 0.5715 0.5715 0.2854  6 Te 2.76-2.77
Te: 0.1329 0.1329 0.6014  3 Mn 2.76
Te: 0.2763 0.2763 0.1710  3 Mn 2.77
Te: 0.7237 0.7237 0.8290  3 Mn 2.77
Te: 0.8671 0.8671 0.3986  3 Mn 2.76

***

Energetically preferred structure: 2 | next structure: +64 meV/atom

***

## 1
DFT (PBE-GGA) results for a relaxed structure of Na5Mn2Te5.

a b c (Å): 7.0579 8.1558 8.1558
angles (deg): 79.21 64.36 64.36
With the nearest neighbours (Å) after each atom.
Positions (direct):
Na: 0.1408 0.3944 0.0000  5 Te 3.05-3.37
Na: 0.5352 0.6056 0.0000  5 Te 3.05-3.37
Na: 0.1408 0.0000 0.3944  5 Te 3.05-3.37
Na: 0.5352 0.0000 0.6056  5 Te 3.05-3.37
Na: 0.9079 0.0000 0.0000  5 Te 3.09-3.22
Mn: 0.2432 0.5000 0.5000  4 Te 2.69-2.70
Mn: 0.7432 0.5000 0.5000  4 Te 2.69-2.70
Te: 0.9939 0.6959 0.3041  2 Mn 2.69-2.70
Te: 0.9939 0.3041 0.6959  2 Mn 2.69-2.70
Te: 0.6899 0.3041 0.3041  2 Mn 2.69-2.70
Te: 0.4706 0.0000 0.0000  5 Na 3.05-3.09
Te: 0.2980 0.6959 0.6959  2 Mn 2.69-2.70

***

## 2
DFT (PBE-GGA) results for a relaxed structure of Na5Mn2Te5.

a b c (Å): 4.2853 7.6281 12.1016
angles (deg): 105.61 90.00 106.31
With the nearest neighbours (Å) after each atom.
Positions (direct):
Na: 0.5000 0.0000 0.5000  4 Te 3.21
Na: 0.6627 0.3254 0.0642  5 Te 3.14-3.39
Na: 0.7613 0.5227 0.3695  5 Te 3.11-3.34
Na: 0.2387 0.4773 0.6305  5 Te 3.11-3.34
Na: 0.3373 0.6746 0.9358  5 Te 3.14-3.39
Mn: 0.0463 0.0925 0.7976  4 Te 2.62-2.75
Mn: 0.9537 0.9075 0.2024  4 Te 2.62-2.75
Te: 0.1053 0.2105 0.3805  1 Mn 2.62
Te: 0.6637 0.3275 0.7978  2 Mn 2.75
Te: 0.3363 0.6725 0.2022  2 Mn 2.75
Te: 0.8947 0.7895 0.6195  1 Mn 2.62
Te: 0.0000 0.0000 0.0000  2 Mn 2.72

***

Energetically preferred structure: 1 | next structure: +9 meV/atom

***

## 1
DFT (PBE-GGA) results for a relaxed structure of NaMn3Te.

a b c (Å): 4.7899 4.7899 4.7899
angles (deg): 90.00 90.00 90.00
With the nearest neighbours (Å) after each atom.
Positions (direct):
Na: 0.0000 0.0000 0.0000  6 Mn 2.39
Te: 0.5000 0.5000 0.5000  12 Mn 3.39
Mn: 0.0000 0.5000 0.0000  2 Na 2.39
Mn: 0.0000 0.0000 0.5000  2 Na 2.39
Mn: 0.5000 0.0000 0.0000  2 Na 2.39

***

## 2
DFT (PBE-GGA) results for a relaxed structure of NaMn3Te.

a b c (Å): 4.9949 4.9949 4.9949
angles (deg): 90.00 90.00 90.00
With the nearest neighbours (Å) after each atom.
Positions (direct):
Na: 0.5000 0.5000 0.5000  12 Mn 3.53
Te: 0.0000 0.0000 0.0000  6 Mn 2.50
Mn: 0.0000 0.5000 0.0000  2 Te 2.50
Mn: 0.0000 0.0000 0.5000  2 Te 2.50
Mn: 0.5000 0.0000 0.0000  2 Te 2.50

***

Energetically preferred structure: 2 | next structure: +529 meV/atom

***

## 1
DFT (PBE-GGA) results for a relaxed structure of NaMn3Tl.

a b c (Å): 4.8646 4.8646 4.8646
angles (deg): 90.00 90.00 90.00
With the nearest neighbours (Å) after each atom.
Positions (direct):
Na: 0.0000 0.0000 0.0000  6 Mn 2.43
Tl: 0.5000 0.5000 0.5000  12 Mn 3.44
Mn: 0.0000 0.5000 0.0000  2 Na 2.43
Mn: 0.0000 0.0000 0.5000  2 Na 2.43
Mn: 0.5000 0.0000 0.0000  2 Na 2.43

***

## 2
DFT (PBE-GGA) results for a relaxed structure of NaMn3Tl.

a b c (Å): 5.2253 5.2253 5.2253
angles (deg): 90.00 90.00 90.00
With the nearest neighbours (Å) after each atom.
Positions (direct):
Na: 0.5000 0.5000 0.5000  12 Mn 3.69
Tl: 0.0000 0.0000 0.0000  6 Mn 2.61
Mn: 0.0000 0.5000 0.0000  2 Tl 2.61
Mn: 0.0000 0.0000 0.5000  2 Tl 2.61
Mn: 0.5000 0.0000 0.0000  2 Tl 2.61

***

Energetically preferred structure: 2 | next structure: +388 meV/atom

***

## 1
DFT (PBE-GGA) results for a relaxed structure of NaMnTl3.

a b c (Å): 5.5149 5.5149 5.5149
angles (deg): 90.00 90.00 90.00
With the nearest neighbours (Å) after each atom.
Positions (direct):
Na: 0.0000 0.0000 0.0000  6 Tl 2.76
Tl: 0.0000 0.5000 0.0000  2 Na 2.76
Tl: 0.0000 0.0000 0.5000  2 Na 2.76
Tl: 0.5000 0.0000 0.0000  2 Na 2.76
Mn: 0.5000 0.5000 0.5000  12 Tl 3.90

***

## 2
DFT (PBE-GGA) results for a relaxed structure of NaMnTl3.

a b c (Å): 5.2395 5.2395 5.2395
angles (deg): 90.00 90.00 90.00
With the nearest neighbours (Å) after each atom.
Positions (direct):
Na: 0.5000 0.5000 0.5000  12 Tl 3.70
Tl: 0.0000 0.5000 0.0000  2 Mn 2.62
Tl: 0.0000 0.0000 0.5000  2 Mn 2.62
Tl: 0.5000 0.0000 0.0000  2 Mn 2.62
Mn: 0.0000 0.0000 0.0000  6 Tl 2.62

***

Energetically preferred structure: 2 | next structure: +570 meV/atom

***

## 1
DFT (PBE-GGA) results for a relaxed structure of Na2MnV.

a b c (Å): 5.1417 5.1417 5.1417
angles (deg): 60.00 60.00 60.00
With the nearest neighbours (Å) after each atom.
Positions (direct):
Na: 0.2500 0.2500 0.2500  4 Mn 3.15, 4 V 3.15
Na: 0.7500 0.7500 0.7500  4 Mn 3.15, 4 V 3.15
Mn: 0.5000 0.5000 0.5000  8 Na 3.15
V: 0.0000 0.0000 0.0000  8 Na 3.15

***

## 2
DFT (PBE-GGA) results for a relaxed structure of Na2MnV.

a b c (Å): 8.3338 8.3338 6.4572
angles (deg): 49.81 49.81 90.00
With the nearest neighbours (Å) after each atom.
Positions (direct):
Na: 0.6370 0.1250 0.2500  2 Na 2.65, 2 Mn 2.95
Na: 0.1130 0.6250 0.2500  2 Na 2.65, 2 Mn 2.95
Na: 0.3750 0.3630 0.7500  2 Na 2.65, 2 Mn 2.95
Na: 0.8750 0.8870 0.7500  2 Na 2.65, 2 Mn 2.95
Mn: 0.0000 0.0000 0.0000  2 V 2.64, 4 Na 2.95
Mn: 0.7500 0.2500 0.5000  2 V 2.64, 4 Na 2.95
V: 0.5000 0.5000 0.0000  2 Mn 2.64
V: 0.2500 0.7500 0.5000  2 Mn 2.64

***

Energetically preferred structure: 2 | next structure: +168 meV/atom

***

## 1
DFT (PBE-GGA) results for a relaxed structure of NaMn3V.

a b c (Å): 4.6178 4.6178 4.6178
angles (deg): 90.00 90.00 90.00
With the nearest neighbours (Å) after each atom.
Positions (direct):
Na: 0.5000 0.5000 0.5000  12 Mn 3.27
Mn: 0.0000 0.5000 0.0000  2 V 2.31
Mn: 0.0000 0.0000 0.5000  2 V 2.31
Mn: 0.5000 0.0000 0.0000  2 V 2.31
V: 0.0000 0.0000 0.0000  6 Mn 2.31

***

## 2
DFT (PBE-GGA) results for a relaxed structure of NaMn3V.

a b c (Å): 4.6019 4.6019 4.6019
angles (deg): 90.00 90.00 90.00
With the nearest neighbours (Å) after each atom.
Positions (direct):
Na: 0.0000 0.0000 0.0000  6 Mn 2.30
Mn: 0.0000 0.5000 0.0000  2 Na 2.30
Mn: 0.0000 0.0000 0.5000  2 Na 2.30
Mn: 0.5000 0.0000 0.0000  2 Na 2.30
V: 0.5000 0.5000 0.5000  12 Mn 3.25

***

Energetically preferred structure: 1 | next structure: +892 meV/atom

***

## 1
DFT (PBE-GGA) results for a relaxed structure of NaMnV2.

a b c (Å): 4.2367 4.2367 9.8525
angles (deg): 77.58 77.58 90.00
With the nearest neighbours (Å) after each atom.
Positions (direct):
Na: 0.5000 0.5000 0.0000  4 Mn 3.00, 8 V 3.33
Na: 0.2500 0.7500 0.5000  4 Mn 3.00, 8 V 3.33
Mn: 0.0000 0.0000 0.0000  4 V 2.57
Mn: 0.7500 0.2500 0.5000  4 V 2.57
V: 0.8750 0.1250 0.2500  2 V 2.12
V: 0.8750 0.6250 0.2500  2 V 2.12
V: 0.3750 0.1250 0.7500  2 V 2.12
V: 0.8750 0.1250 0.7500  2 V 2.12

***

## 2
DFT (PBE-GGA) results for a relaxed structure of NaMnV2.

a b c (Å): 4.3687 4.3687 4.3687
angles (deg): 60.00 60.00 60.00
With the nearest neighbours (Å) after each atom.
Positions (direct):
Na: 0.0000 0.0000 0.0000  8 V 2.68
Mn: 0.5000 0.5000 0.5000  8 V 2.68
V: 0.2500 0.2500 0.2500  4 Mn 2.68, 4 Na 2.68
V: 0.7500 0.7500 0.7500  4 Mn 2.68, 4 Na 2.68

***

Energetically preferred structure: 2 | next structure: +516 meV/atom

***

## 1
DFT (PBE-GGA) results for a relaxed structure of Na2MnW2.

a b c (Å): 3.5613 3.5613 10.1575
angles (deg): 79.90 79.90 90.00
With the nearest neighbours (Å) after each atom.
Positions (direct):
Na: 0.3912 0.3912 0.2176  4 W 3.30, 4 Mn 3.31, 4 Na 3.56
Na: 0.6088 0.6088 0.7824  4 W 3.30, 4 Mn 3.31, 4 Na 3.56
Mn: 0.0000 0.0000 0.0000  8 Na 3.31, 4 Mn 3.56
W: 0.7500 0.2500 0.5000  4 W 2.52
W: 0.2500 0.7500 0.5000  4 W 2.52

***

## 2
DFT (PBE-GGA) results for a relaxed structure of Na2MnW2.

a b c (Å): 8.9168 8.9168 2.5634
angles (deg): 90.00 90.00 90.00
With the nearest neighbours (Å) after each atom.
Positions (direct):
Na: 0.3019 0.8019 0.0000  2 Na 2.56
Na: 0.8019 0.6981 0.0000  2 Na 2.56
Na: 0.6981 0.1981 0.0000  2 Na 2.56
Na: 0.1981 0.3019 0.0000  2 Na 2.56
Mn: 0.0000 0.0000 0.0000  2 Mn 2.56
Mn: 0.5000 0.5000 0.0000  2 Mn 2.56
W: 0.0947 0.5947 0.5000  3 W 2.39-2.56
W: 0.5947 0.9053 0.5000  3 W 2.39-2.56
W: 0.9053 0.4053 0.5000  3 W 2.39-2.56
W: 0.4053 0.0947 0.5000  3 W 2.39-2.56

***

Energetically preferred structure: 1 | next structure: +479 meV/atom

***

## 1
DFT (PBE-GGA) results for a relaxed structure of NaMnW2.

a b c (Å): 4.3732 4.3732 4.3732
angles (deg): 60.00 60.00 60.00
With the nearest neighbours (Å) after each atom.
Positions (direct):
Na: 0.0000 0.0000 0.0000  8 W 2.68
Mn: 0.5000 0.5000 0.5000  8 W 2.68
W: 0.2500 0.2500 0.2500  4 Mn 2.68, 4 Na 2.68
W: 0.7500 0.7500 0.7500  4 Mn 2.68, 4 Na 2.68

***

## 2
DFT (PBE-GGA) results for a relaxed structure of NaMnW2.

a b c (Å): 3.7696 3.7696 10.4055
angles (deg): 79.56 79.56 90.00
With the nearest neighbours (Å) after each atom.
Positions (direct):
Na: 0.5000 0.5000 0.0000  4 Mn 2.67, 4 W 2.87
Na: 0.2500 0.7500 0.5000  4 Mn 2.67, 4 W 2.87
Mn: 0.0000 0.0000 0.0000  4 Na 2.67, 4 W 2.82
Mn: 0.7500 0.2500 0.5000  4 Na 2.67, 4 W 2.82
W: 0.1066 0.1250 0.2500  4 W 2.57-2.77, 2 Mn 2.82, 2 Na 2.87
W: 0.6434 0.6250 0.2500  4 W 2.57-2.77, 2 Mn 2.82, 2 Na 2.87
W: 0.3750 0.8934 0.7500  4 W 2.57-2.77, 2 Mn 2.82, 2 Na 2.87
W: 0.8750 0.3566 0.7500  4 W 2.57-2.77, 2 Mn 2.82, 2 Na 2.87

***

Energetically preferred structure: 1 | next structure: +169 meV/atom

***

## 1
DFT (PBE-GGA) results for a relaxed structure of Na2YMn.

a b c (Å): 5.0685 5.0685 5.0685
angles (deg): 60.00 60.00 60.00
With the nearest neighbours (Å) after each atom.
Positions (direct):
Y: 0.5000 0.5000 0.5000  8 Na 3.10
Na: 0.2500 0.2500 0.2500  4 Y 3.10, 4 Mn 3.10
Na: 0.7500 0.7500 0.7500  4 Mn 3.10, 4 Y 3.10
Mn: 0.0000 0.0000 0.0000  8 Na 3.10

***

## 2
DFT (PBE-GGA) results for a relaxed structure of Na2YMn.

a b c (Å): 3.9801 3.9801 12.5247
angles (deg): 80.86 80.86 90.00
With the nearest neighbours (Å) after each atom.
Positions (direct):
Y: 0.0000 0.0000 0.0000  4 Mn 2.81
Y: 0.7500 0.2500 0.5000  4 Mn 2.81
Na: 0.6054 0.1250 0.2500  4 Na 2.71-2.93
Na: 0.1446 0.6250 0.2500  4 Na 2.71-2.93
Na: 0.3750 0.3946 0.7500  4 Na 2.71-2.93
Na: 0.8750 0.8554 0.7500  4 Na 2.71-2.93
Mn: 0.5000 0.5000 0.0000  4 Y 2.81
Mn: 0.2500 0.7500 0.5000  4 Y 2.81

***

Energetically preferred structure: 2 | next structure: +322 meV/atom

***

## 1
DFT (PBE-GGA) results for a relaxed structure of NaYMn2.

a b c (Å): 7.7863 7.7863 6.2423
angles (deg): 51.42 51.42 90.00
With the nearest neighbours (Å) after each atom.
Positions (direct):
Y: 0.0000 0.0000 0.0000  4 Mn 2.93, 2 Na 2.94
Y: 0.7500 0.2500 0.5000  4 Mn 2.93, 2 Na 2.94
Na: 0.5000 0.5000 0.0000  4 Mn 2.77, 2 Y 2.94
Na: 0.2500 0.7500 0.5000  4 Mn 2.77, 2 Y 2.94
Mn: 0.6106 0.1250 0.2500  2 Na 2.77, 2 Y 2.93, 2 Mn 2.95
Mn: 0.1394 0.6250 0.2500  2 Na 2.77, 2 Y 2.93, 2 Mn 2.95
Mn: 0.3750 0.3894 0.7500  2 Na 2.77, 2 Y 2.93, 2 Mn 2.95
Mn: 0.8750 0.8606 0.7500  2 Na 2.77, 2 Y 2.93, 2 Mn 2.95

***

## 2
DFT (PBE-GGA) results for a relaxed structure of NaYMn2.

a b c (Å): 5.0056 5.0056 5.0056
angles (deg): 60.00 60.00 60.00
With the nearest neighbours (Å) after each atom.
Positions (direct):
Y: 0.5000 0.5000 0.5000  8 Mn 3.07
Na: 0.0000 0.0000 0.0000  8 Mn 3.07
Mn: 0.2500 0.2500 0.2500  4 Y 3.07, 4 Na 3.07
Mn: 0.7500 0.7500 0.7500  4 Y 3.07, 4 Na 3.07

***

Energetically preferred structure: 2 | next structure: +166 meV/atom